Density functional theory data (PBE-GGA) for an optimized crystal structure of Sc5Tl2In2.

Structure (POSCAR):
```
Sc5Tl2In2
1.0
7.5400 -3.8761 0.0000
7.5400 3.8761 0.0000
0.0000 0.0000 7.5235
Sc Tl In
10 4 4
direct
0.0000 0.0000 0.0000
0.0438 0.6835 0.6730
0.1835 0.5438 0.1730
0.3165 0.9562 0.6730
0.4562 0.8165 0.1730
0.5000 0.5000 0.5000
0.5438 0.1835 0.8270
0.6835 0.0438 0.3270
0.8165 0.4562 0.8270
0.9562 0.3165 0.3270
0.2123 0.2123 0.0000
0.2877 0.2877 0.5000
0.7123 0.7123 0.5000
0.7877 0.7877 0.0000
0.1292 0.8708 0.3691
0.3708 0.6292 0.8691
0.6292 0.3708 0.1309
0.8708 0.1292 0.6309
```

- SG: Cmce (64)
- D(E_F): 0.7446 states/eV per atom
- Crystal system: orthorhombic
- Density: 6.52 g/cm³
- DFT formation energy: -2.63 eV/f.u.